The following is a GGA-PBE calculation of a geometry-optimized KNaI3 structure, from Alexandria.

The space group is Pm-3m (No. 221) and the conventional cell measures 6.589, 6.589 and 6.589 Å, with angles of 90.00, 90.00 and 90.00 degrees. The asymmetric unit holds K at (0.000, 0.000, 0.000), Na at (0.500, 0.500, 0.500) and I at (0.000, 0.000, 0.500).

Its energy above the most stable polymorph in this dataset is 231 meV/atom. The total magnetization comes out at 0.200 μB/atom. Its uncorrected formation energy is -625 meV per atom.